# Tm3MnO7 (GGA+U, relaxed)
# space group = C222_1, No. 20
# raw total energy = -173.4 eV/cell
# density = 8.22 g cm⁻³
data_Tm3MnO7
_cell_length_a 6.3049
_cell_length_b 6.3049
_cell_length_c 7.2449
_cell_angle_alpha 90.00
_cell_angle_beta 90.00
_cell_angle_gamma 109.02
_space_group_name_H-M_alt 'P 1'
_space_group_IT_number 1
loop_
_space_group_symop_operation_xyz
'x,y,z'
loop_
_atom_site_label
_atom_site_fract_x
_atom_site_fract_y
_atom_site_fract_z
Tm1 0.0308 0.0308 0.0000
Tm2 0.0395 0.4956 0.2556
Tm3 0.4956 0.0395 0.7444
Tm4 0.5044 0.9605 0.2444
Tm5 0.9605 0.5044 0.7556
Tm6 0.9692 0.9692 0.5000
Mn1 0.4964 0.4964 0.0000
Mn2 0.5036 0.5036 0.5000
O1 0.1306 0.8694 0.7500
O2 0.1358 0.8642 0.2500
O3 0.1737 0.4206 0.9734
O4 0.1851 0.4311 0.5358
O5 0.4206 0.1737 0.0266
O6 0.4290 0.5710 0.2500
O7 0.4311 0.1851 0.4642
O8 0.5689 0.8149 0.9642
O9 0.5710 0.4290 0.7500
O10 0.5794 0.8263 0.5266
O11 0.8149 0.5689 0.0358
O12 0.8263 0.5794 0.4734
O13 0.8642 0.1358 0.7500
O14 0.8694 0.1306 0.2500